Compound: BeRe3F
Source: Alexandria via LeMat-Bulk
Functional: PBEsol
Structure: relaxed

Uncorrected formation energy, eV/atom: 1.610
DOS at the Fermi energy, states/eV per cell: 6.5

abc: 4.1024 4.1024 4.1024
angles: 90.00 90.00 90.00
With the nearest neighbours (Å) after each atom.
Atoms (fractional coordinates):
Re: 0.0000 0.5000 0.0000  2 F 2.05
Re: 0.0000 0.0000 0.5000  2 F 2.05
Re: 0.5000 0.0000 0.0000  2 F 2.05
Be: 0.5000 0.5000 0.5000  12 Re 2.90
F: 0.0000 0.0000 0.0000  6 Re 2.05